## TlAsSe (GGA-PBE)

Data for a relaxed structure of TlAsSe.

The structure in CIF format:
```
data_TlAsSe
_symmetry_space_group_name_H-M 'P 3 m 1'
_symmetry_Int_Tables_number 156
_cell_length_a 4.5349
_cell_length_b 4.5349
_cell_length_c 4.8554
_cell_angle_alpha 90.00
_cell_angle_beta 90.00
_cell_angle_gamma 120.00
loop_
_symmetry_equiv_pos_as_xyz
'x,y,z'
'-y,x-y,z'
'-x+y,-x,z'
'-y,-x,z'
'-x+y,y,z'
'x,x-y,z'
loop_
_atom_site_label
_atom_site_type_symbol
_atom_site_fract_x
_atom_site_fract_y
_atom_site_fract_z
Tl1 Tl 0.0000 0.0000 0.0000
As1 As 0.6667 0.3333 0.5778
Se1 Se 0.3333 0.6667 0.4621
```

Values from the calculation:
spin magnetization: 0.00 μB per formula unit
formation energy (no corrections): 11 kJ/mol of formula units
DOS at the Fermi energy: 0.3 states/eV/f.u.
E above lowest polymorph: 4.0 kJ per mole of atoms
final energy: -0.254 Ry/atom